(1)
VASP calculation (PBE) on a relaxed structure of PmURh2.

a b c (Å): 7.3215 7.3215 7.3215
angles (deg): 30.67 30.67 30.67
With the nearest neighbours (Å) after each atom.
Fractional coordinates of all 4 atoms:
Pm (0.0000, 0.0000, 0.0000)  6 Rh 2.97
U (0.5000, 0.5000, 0.5000)  6 Rh 2.71
Rh (0.2398, 0.2398, 0.2398)  3 U 2.71, 3 Pm 2.97
Rh (0.7602, 0.7602, 0.7602)  3 U 2.71, 3 Pm 2.97

Results
Its uncorrected energy is -8.1802 eV per atom. Its total magnetization is 1.04 μB/f.u. As for the symmetry: No. 166. The calculated volume comes out at 90.6 Å³ per cell. The value obtained for the formation energy is -0.495 eV per atom. As for the excess energy over the best structure of this formula in the dataset: 38 meV/atom. The density is 10.80 Mg/m³.

(2)
VASP calculation (PBE) on a relaxed structure of PmURh2.

a b c (Å): 3.4176 3.4176 7.1668
angles (deg): 90.00 90.00 90.00
With the nearest neighbours (Å) after each atom.
Fractional coordinates of all 4 atoms:
Pm (0.0000, 0.0000, 0.0000)  8 Rh 3.17, 4 Pm 3.42
U (0.0000, 0.0000, 0.5000)  8 Rh 2.86
Rh (0.5000, 0.5000, 0.2860)  4 U 2.86, 1 Rh 3.07, 4 Pm 3.17
Rh (0.5000, 0.5000, 0.7140)  4 U 2.86, 1 Rh 3.07, 4 Pm 3.17

Results
Its uncorrected energy is -8.2179 eV per atom. Its total magnetization is 1.75 μB/f.u. As for the symmetry: No. 123. The calculated volume comes out at 83.7 Å³ per cell. The value obtained for the formation energy is -0.532 eV per atom. As for the excess energy over the best structure of this formula in the dataset: 0 meV/atom. The density is 11.68 Mg/m³.